# Zr5ReNi2 (PBE, relaxed)
# uncorrected energy: -8.418 eV/atom
data_Zr5ReNi2
_chemical_formula_sum 'Zr5 Re1 Ni2'
_symmetry_space_group_name_H-M 'P 1'
_symmetry_Int_Tables_number 1
_symmetry_space_group_name_Hall 'P 1'
_cell_length_a 4.6676
_cell_length_b 5.8258
_cell_length_c 5.8258
_cell_angle_alpha 67.86
_cell_angle_beta 90.00
_cell_angle_gamma 90.00
loop_
_atom_site_label
_atom_site_fract_x
_atom_site_fract_y
_atom_site_fract_z
Zr1 0.0000 0.0000 0.0000
Zr2 0.0000 0.5011 0.9952
Zr3 0.0000 0.9952 0.5011
Zr4 0.5000 0.2779 0.7395
Zr5 0.5000 0.7395 0.2779
Re1 0.5000 0.2458 0.2458
Ni1 0.0000 0.4702 0.4702
Ni2 0.5000 0.7869 0.7869